SrNbN2 GGA-PBE relaxed; SG = Pnma (62); Fermi-level density of states = 0.204 states/eV per atom; magnetization = 0.0 μB per cell; calculated volume = 14.47 A^3/atom; formation energy from raw total energies = -978 meV/atom
1.0
3.5263 0.0000 0.0000
0.0000 5.9597 0.0000
0.0000 0.0000 11.0139
Sr Nb N
4 4 8
Direct
0.7500 0.0873 0.1361 Sr
0.2500 0.9127 0.8639 Sr
0.7500 0.5873 0.3639 Sr
0.2500 0.4127 0.6361 Sr
0.2500 0.5849 0.1140 Nb
0.2500 0.0849 0.3860 Nb
0.7500 0.4151 0.8860 Nb
0.7500 0.9151 0.6140 Nb
0.7500 0.1961 0.4701 N
0.2500 0.8039 0.5299 N
0.7500 0.6961 0.0299 N
0.2500 0.3039 0.9701 N
0.7500 0.1562 0.7487 N
0.2500 0.3438 0.2487 N
0.7500 0.6562 0.7513 N
0.2500 0.8438 0.2513 N